# Er2Th2Co, optimized geometry, DFT PBE
data_Er2Th2Co
_cell_length_a 4.8621
_cell_length_b 4.8621
_cell_length_c 23.1323
_cell_angle_alpha 90.00
_cell_angle_beta 90.00
_cell_angle_gamma 90.00
_symmetry_space_group_name_H-M 'I 41/a m d'
_symmetry_Int_Tables_number 141
loop_
_symmetry_equiv_pos_as_xyz
'x,y,z'
'-x,-y,-z'
'-y+1/4,x+3/4,z+1/4'
'y+1/4,-x+3/4,-z+1/4'
'-x+1/2,-y,z+1/2'
'x+1/2,y,-z+1/2'
'y+1/4,-x+1/4,z+3/4'
'-y+1/4,x+1/4,-z+3/4'
'x,-y,-z'
'-x,y,z'
'-y+1/4,-x+1/4,-z+3/4'
'y+1/4,x+1/4,z+3/4'
'-x+1/2,y,-z+1/2'
'x+1/2,-y,z+1/2'
'y+1/4,x+3/4,-z+1/4'
'-y+1/4,-x+3/4,z+1/4'
'x+1/2,y+1/2,z+1/2'
'-x+1/2,-y+1/2,-z+1/2'
'-y+3/4,x+1/4,z+3/4'
'y+3/4,-x+1/4,-z+3/4'
'-x,-y+1/2,z'
'x,y+1/2,-z'
'y+3/4,-x+3/4,z+1/4'
'-y+3/4,x+3/4,-z+1/4'
'x+1/2,-y+1/2,-z+1/2'
'-x+1/2,y+1/2,z+1/2'
'-y+3/4,-x+3/4,-z+1/4'
'y+3/4,x+3/4,z+1/4'
'-x,y+1/2,-z'
'x,-y+1/2,z'
'y+3/4,x+1/4,-z+3/4'
'-y+3/4,-x+1/4,z+3/4'
loop_
_atom_site_label
_atom_site_type_symbol
_atom_site_fract_x
_atom_site_fract_y
_atom_site_fract_z
Er1 Er 0.0000 0.2500 0.0547
Th1 Th 0.0000 0.2500 0.1973
Co1 Co 0.0000 0.2500 0.3750
# ρ, g/cm³: 10.42
# Energy relative to the elements, eV per atom: 0.027
# DOS at the Fermi energy, states/eV per cell: 21.1
# Total moment, μB/cell: 0.00


# YZr2Ge2, optimized geometry, DFT PBE
data_YZr2Ge2
_cell_length_a 5.1555
_cell_length_b 5.1555
_cell_length_c 9.0922
_cell_angle_alpha 90.00
_cell_angle_beta 90.00
_cell_angle_gamma 90.00
_symmetry_space_group_name_H-M 'I 4/m m m'
_symmetry_Int_Tables_number 139
_symmetry_space_group_name_Hall '-I 4 2'
loop_
_atom_site_label
_atom_site_type_symbol
_atom_site_fract_x
_atom_site_fract_y
_atom_site_fract_z
Y1 Y 0.0000 0.0000 0.0000
Zr1 Zr 0.0000 0.0000 0.3325
Ge1 Ge 0.0000 0.5000 0.2500
# ρ, g/cm³: 5.73
# Energy relative to the elements, eV per atom: -0.290
# DOS at the Fermi energy, states/eV per cell: 9.0
# Total moment, μB/cell: 1.34
# Relative energy among the computed polymorphs, kcal/mol of atoms: 10.145


# CeHoIn2, optimized geometry, DFT PBE
data_CeHoIn2
_cell_length_a 3.4490
_cell_length_b 3.4490
_cell_length_c 9.0232
_cell_angle_alpha 90.00
_cell_angle_beta 90.00
_cell_angle_gamma 90.00
_symmetry_space_group_name_H-M 'P 4/m m m'
_symmetry_Int_Tables_number 123
_symmetry_space_group_name_Hall '-P 4 2'
loop_
_atom_site_label
_atom_site_type_symbol
_atom_site_fract_x
_atom_site_fract_y
_atom_site_fract_z
Ce1 Ce 0.0000 0.0000 0.0000
Ho1 Ho 0.0000 0.0000 0.5000
In1 In 0.5000 0.5000 0.2573
# ρ, g/cm³: 8.27
# Energy relative to the elements, eV per atom: -0.409
# DOS at the Fermi energy, states/eV per cell: 7.1
# Total moment, μB/cell: 1.21


# K2RbPuCl5, optimized geometry, DFT PBE
data_K2RbPuCl5
_cell_length_a 5.4204
_cell_length_b 7.7146
_cell_length_c 15.4504
_cell_angle_alpha 90.00
_cell_angle_beta 90.00
_cell_angle_gamma 90.00
_symmetry_space_group_name_H-M 'I m m m'
_symmetry_Int_Tables_number 71
_symmetry_space_group_name_Hall '-I 2 2'
loop_
_atom_site_label
_atom_site_type_symbol
_atom_site_fract_x
_atom_site_fract_y
_atom_site_fract_z
K1 K 0.0000 0.0000 0.2082
Rb1 Rb 0.0000 0.5000 0.0000
Pu1 Pu 0.0000 0.5000 0.5000
Cl1 Cl 0.0000 0.0000 0.0000
Cl2 Cl 0.0000 0.2517 0.3653
# Formation energy without anion corrections, meV per atom: -1829
# ρ, g/cm³: 3.01
# DOS at the Fermi energy, states/eV per cell: 28.2
# Total moment, μB/cell: 11.89


# IrC3N, optimized geometry, DFT PBE
data_IrC3N
_cell_length_a 3.9668
_cell_length_b 3.9668
_cell_length_c 3.9668
_cell_angle_alpha 90.00
_cell_angle_beta 90.00
_cell_angle_gamma 90.00
_symmetry_space_group_name_H-M 'P m -3 m'
_symmetry_Int_Tables_number 221
_symmetry_space_group_name_Hall '-P 4 2 3'
loop_
_atom_site_label
_atom_site_type_symbol
_atom_site_fract_x
_atom_site_fract_y
_atom_site_fract_z
Ir1 Ir 0.0000 0.0000 0.0000
C1 C 0.0000 0.0000 0.5000
N1 N 0.5000 0.5000 0.5000
# Formation energy without anion corrections, meV per atom: 2994
# ρ, g/cm³: 6.44
# DOS at the Fermi energy, states/eV per cell: 2.5
# Total moment, μB/cell: 0.00


# Mg2ScCd, optimized geometry, DFT PBE
data_Mg2ScCd
_cell_length_a 10.7457
_cell_length_b 3.1257
_cell_length_c 5.5222
_cell_angle_alpha 90.00
_cell_angle_beta 103.62
_cell_angle_gamma 90.00
_symmetry_space_group_name_H-M 'C 1 2/m 1'
_symmetry_Int_Tables_number 12
loop_
_symmetry_equiv_pos_as_xyz
'x,y,z'
'-x,-y,-z'
'-x,y,-z'
'x,-y,z'
'x+1/2,y+1/2,z'
'-x+1/2,-y+1/2,-z'
'-x+1/2,y+1/2,-z'
'x+1/2,-y+1/2,z'
loop_
_atom_site_label
_atom_site_type_symbol
_atom_site_fract_x
_atom_site_fract_y
_atom_site_fract_z
Mg1 Mg 0.2401 0.0000 0.2453
Sc1 Sc 0.0000 0.0000 0.5000
Cd1 Cd 0.0000 0.5000 0.0000
# ρ, g/cm³: 3.79
# Energy relative to the elements, eV per atom: -0.072
# DOS at the Fermi energy, states/eV per cell: 5.7
# Total moment, μB/cell: 0.00


# Na4Pm3HgO8, optimized geometry, DFT PBE
data_Na4Pm3HgO8
_cell_length_a 12.2617
_cell_length_b 6.9220
_cell_length_c 6.8859
_cell_angle_alpha 90.00
_cell_angle_beta 123.55
_cell_angle_gamma 90.00
_symmetry_space_group_name_H-M 'C 1 2/m 1'
_symmetry_Int_Tables_number 12
loop_
_symmetry_equiv_pos_as_xyz
'x,y,z'
'-x,-y,-z'
'-x,y,-z'
'x,-y,z'
'x+1/2,y+1/2,z'
'-x+1/2,-y+1/2,-z'
'-x+1/2,y+1/2,-z'
'x+1/2,-y+1/2,z'
loop_
_atom_site_label
_atom_site_type_symbol
_atom_site_fract_x
_atom_site_fract_y
_atom_site_fract_z
Na1 Na 0.0000 0.0000 0.0000
Na2 Na 0.0000 0.5000 0.0000
Na3 Na 0.2500 0.2500 0.5000
Pm1 Pm 0.0000 0.0000 0.5000
Pm2 Pm 0.2500 0.2500 0.0000
Hg1 Hg 0.0000 0.5000 0.5000
O1 O 0.0130 0.2596 0.7417
O2 O 0.2312 0.0000 0.2090
O3 O 0.2305 0.0000 0.7488
# Formation energy without anion corrections, meV per atom: -2123
# ρ, g/cm³: 5.83
# DOS at the Fermi energy, states/eV per cell: 6.1
# Total moment, μB/cell: 2.22


# CeY5Bi5, optimized geometry, DFT PBE
data_CeY5Bi5
_cell_length_a 14.0191
_cell_length_b 6.3204
_cell_length_c 8.8889
_cell_angle_alpha 90.00
_cell_angle_beta 108.26
_cell_angle_gamma 90.00
_symmetry_space_group_name_H-M 'C 1 2/m 1'
_symmetry_Int_Tables_number 12
loop_
_symmetry_equiv_pos_as_xyz
'x,y,z'
'-x,-y,-z'
'-x,y,-z'
'x,-y,z'
'x+1/2,y+1/2,z'
'-x+1/2,-y+1/2,-z'
'-x+1/2,y+1/2,-z'
'x+1/2,-y+1/2,z'
loop_
_atom_site_label
_atom_site_type_symbol
_atom_site_fract_x
_atom_site_fract_y
_atom_site_fract_z
Ce1 Ce 0.0000 0.0000 0.0000
Y1 Y 0.0000 0.0000 0.5000
Y2 Y 0.1624 0.5000 0.3361
Y3 Y 0.1653 0.5000 0.8302
Bi1 Bi 0.0000 0.5000 0.0000
Bi2 Bi 0.1683 0.0000 0.3387
Bi3 Bi 0.1706 0.0000 0.8295
# ρ, g/cm³: 7.24
# Energy relative to the elements, eV per atom: -0.689
# DOS at the Fermi energy, states/eV per cell: 20.5
# Total moment, μB/cell: 1.91


# Rb2CeHo2S6, optimized geometry, DFT PBE
data_Rb2CeHo2S6
_cell_length_a 6.9898
_cell_length_b 12.1132
_cell_length_c 8.1894
_cell_angle_alpha 90.00
_cell_angle_beta 106.66
_cell_angle_gamma 90.00
_symmetry_space_group_name_H-M 'C 1 2/m 1'
_symmetry_Int_Tables_number 12
loop_
_symmetry_equiv_pos_as_xyz
'x,y,z'
'-x,-y,-z'
'-x,y,-z'
'x,-y,z'
'x+1/2,y+1/2,z'
'-x+1/2,-y+1/2,-z'
'-x+1/2,y+1/2,-z'
'x+1/2,-y+1/2,z'
loop_
_atom_site_label
_atom_site_type_symbol
_atom_site_fract_x
_atom_site_fract_y
_atom_site_fract_z
Rb1 Rb 0.0000 0.1678 0.0000
Ce1 Ce 0.0000 0.0000 0.5000
Ho1 Ho 0.0000 0.3337 0.5000
S1 S 0.2277 0.1673 0.6857
S2 S 0.2309 0.5000 0.6856
# Formation energy without anion corrections, meV per atom: -1851
# ρ, g/cm³: 4.17
# Total moment, μB/cell: 0.00


# Sc3TlH, optimized geometry, DFT PBE
data_Sc3TlH
_cell_length_a 11.1750
_cell_length_b 4.7020
_cell_length_c 7.9137
_cell_angle_alpha 90.00
_cell_angle_beta 112.79
_cell_angle_gamma 90.00
_symmetry_space_group_name_H-M 'C 1 2/m 1'
_symmetry_Int_Tables_number 12
loop_
_symmetry_equiv_pos_as_xyz
'x,y,z'
'-x,-y,-z'
'-x,y,-z'
'x,-y,z'
'x+1/2,y+1/2,z'
'-x+1/2,-y+1/2,-z'
'-x+1/2,y+1/2,-z'
'x+1/2,-y+1/2,z'
loop_
_atom_site_label
_atom_site_type_symbol
_atom_site_fract_x
_atom_site_fract_y
_atom_site_fract_z
Sc1 Sc 0.1060 0.0000 0.4163
Sc2 Sc 0.1229 0.5000 0.6846
Sc3 Sc 0.1386 0.5000 0.1793
Tl1 Tl 0.1174 0.0000 0.9380
H1 H 0.0780 0.5000 0.4013
# ρ, g/cm³: 5.90
# DOS at the Fermi energy, states/eV per cell: 15.4
# Total moment, μB/cell: 0.00
# Relative energy among the computed polymorphs, kcal/mol of atoms: 2.517


# TaTiAsSe2, optimized geometry, DFT PBE
data_TaTiAsSe2
_cell_length_a 4.9650
_cell_length_b 4.9650
_cell_length_c 5.0412
_cell_angle_alpha 90.00
_cell_angle_beta 90.00
_cell_angle_gamma 90.00
_symmetry_space_group_name_H-M 'P 4/m m m'
_symmetry_Int_Tables_number 123
_symmetry_space_group_name_Hall '-P 4 2'
loop_
_atom_site_label
_atom_site_type_symbol
_atom_site_fract_x
_atom_site_fract_y
_atom_site_fract_z
Ta1 Ta 0.0000 0.0000 0.0000
Ti1 Ti 0.5000 0.5000 0.5000
As1 As 0.0000 0.0000 0.5000
Se1 Se 0.0000 0.5000 0.0000
# Formation energy without anion corrections, meV per atom: 313
# ρ, g/cm³: 6.17
# DOS at the Fermi energy, states/eV per cell: 5.1
# Total moment, μB/cell: 0.04
# Relative energy among the computed polymorphs, kcal/mol of atoms: 0.000


# Rb2ErPaTe4, optimized geometry, DFT PBE
data_Rb2ErPaTe4
_cell_length_a 7.8038
_cell_length_b 4.4506
_cell_length_c 9.0200
_cell_angle_alpha 90.00
_cell_angle_beta 106.37
_cell_angle_gamma 90.00
_symmetry_space_group_name_H-M 'P 1 2/m 1'
_symmetry_Int_Tables_number 10
loop_
_symmetry_equiv_pos_as_xyz
'x,y,z'
'-x,-y,-z'
'-x,y,-z'
'x,-y,z'
loop_
_atom_site_label
_atom_site_type_symbol
_atom_site_fract_x
_atom_site_fract_y
_atom_site_fract_z
Rb1 Rb 0.0000 0.0000 0.0000
Rb2 Rb 0.5000 0.5000 0.0000
Er1 Er 0.0000 0.5000 0.5000
Pa1 Pa 0.5000 0.0000 0.5000
Te1 Te 0.2300 0.0000 0.7001
Te2 Te 0.2606 0.5000 0.2960
# Formation energy without anion corrections, meV per atom: -1118
# ρ, g/cm³: 5.96
# DOS at the Fermi energy, states/eV per cell: 8.3
# Total moment, μB/cell: 1.97


Q: Among the records above, which one has the highest ρ?
A: Er2Th2Co


Repeat the fifth record exactly.
# IrC3N, optimized geometry, DFT PBE
data_IrC3N
_cell_length_a 3.9668
_cell_length_b 3.9668
_cell_length_c 3.9668
_cell_angle_alpha 90.00
_cell_angle_beta 90.00
_cell_angle_gamma 90.00
_symmetry_space_group_name_H-M 'P m -3 m'
_symmetry_Int_Tables_number 221
_symmetry_space_group_name_Hall '-P 4 2 3'
loop_
_atom_site_label
_atom_site_type_symbol
_atom_site_fract_x
_atom_site_fract_y
_atom_site_fract_z
Ir1 Ir 0.0000 0.0000 0.0000
C1 C 0.0000 0.0000 0.5000
N1 N 0.5000 0.5000 0.5000
# Formation energy without anion corrections, meV per atom: 2994
# ρ, g/cm³: 6.44
# DOS at the Fermi energy, states/eV per cell: 2.5
# Total moment, μB/cell: 0.00